Entry 1:
The following is a PBE-GGA calculation of a relaxed structure of Rb2Ho2USe6, from Alexandria.

Output
- total magnetization (μB/atom) = 0.1818
- ΔE_f (raw) (kJ per mole of atoms) = -153
- VASP energy (eV for the cell shown) = -60.76

Structure (CIF):
```
data_Rb2Ho2USe6
_symmetry_space_group_name_H-M 'P 1'
_symmetry_Int_Tables_number 1
_symmetry_space_group_name_Hall 'P 1'
_cell_length_a 7.220
_cell_length_b 7.220
_cell_length_c 8.548
_cell_angle_alpha 98.20
_cell_angle_beta 98.20
_cell_angle_gamma 119.94
loop_
_atom_site_label
_atom_site_type_symbol
_atom_site_fract_x
_atom_site_fract_y
_atom_site_fract_z
_atom_site_occupancy
Rb1 Rb 0.168 0.832 0.000 1
Rb2 Rb 0.832 0.168 0.000 1
Ho1 Ho 0.333 0.667 0.500 1
Ho2 Ho 0.667 0.333 0.500 1
U1 U 0.000 0.000 0.500 1
Se1 Se 0.064 0.395 0.691 1
Se2 Se 0.266 0.266 0.310 1
Se3 Se 0.395 0.064 0.691 1
Se4 Se 0.605 0.936 0.309 1
Se5 Se 0.734 0.734 0.690 1
Se6 Se 0.936 0.605 0.309 1
```


Entry 2:
The following is a PBE-GGA calculation of a relaxed structure of Rb3Ho3VSe8, from Alexandria.

Output
- total magnetization (μB/atom) = 0.0661
- ΔE_f (raw) (kJ per mole of atoms) = -140
- VASP energy (eV for the cell shown) = -75.46

Structure (CIF):
```
data_Rb3Ho3VSe8
_symmetry_space_group_name_H-M 'P 1'
_symmetry_Int_Tables_number 1
_symmetry_space_group_name_Hall 'P 1'
_cell_length_a 9.444
_cell_length_b 9.444
_cell_length_c 9.444
_cell_angle_alpha 51.01
_cell_angle_beta 51.01
_cell_angle_gamma 51.01
loop_
_atom_site_label
_atom_site_type_symbol
_atom_site_fract_x
_atom_site_fract_y
_atom_site_fract_z
_atom_site_occupancy
Rb1 Rb 0.000 0.500 0.500 1
Rb2 Rb 0.500 0.000 0.500 1
Rb3 Rb 0.500 0.500 0.000 1
Ho1 Ho 0.000 0.000 0.500 1
Ho2 Ho 0.000 0.500 0.000 1
Ho3 Ho 0.500 0.000 0.000 1
V1 V 0.500 0.500 0.500 1
Se1 Se 0.232 0.232 0.232 1
Se2 Se 0.255 0.713 0.713 1
Se3 Se 0.287 0.287 0.745 1
Se4 Se 0.287 0.745 0.287 1
Se5 Se 0.713 0.255 0.713 1
Se6 Se 0.713 0.713 0.255 1
Se7 Se 0.745 0.287 0.287 1
Se8 Se 0.768 0.768 0.768 1
```


Entry 3:
The following is a PBE-GGA calculation of a relaxed structure of Rb3YHo2Se6, from Alexandria.

Output
- total magnetization (μB/atom) = 0.0000
- ΔE_f (raw) (kJ per mole of atoms) = -168
- VASP energy (eV for the cell shown) = -60.31

Structure (CIF):
```
data_Rb3YHo2Se6
_symmetry_space_group_name_H-M 'P 1'
_symmetry_Int_Tables_number 1
_symmetry_space_group_name_Hall 'P 1'
_cell_length_a 7.328
_cell_length_b 7.328
_cell_length_c 8.356
_cell_angle_alpha 98.41
_cell_angle_beta 98.41
_cell_angle_gamma 120.00
loop_
_atom_site_label
_atom_site_type_symbol
_atom_site_fract_x
_atom_site_fract_y
_atom_site_fract_z
_atom_site_occupancy
Rb1 Rb 0.000 0.000 0.000 1
Rb2 Rb 0.334 0.666 0.000 1
Rb3 Rb 0.666 0.334 0.000 1
Y1 Y 0.500 0.500 0.500 1
Ho1 Ho 0.167 0.833 0.500 1
Ho2 Ho 0.833 0.167 0.500 1
Se1 Se 0.100 0.435 0.305 1
Se2 Se 0.230 0.230 0.695 1
Se3 Se 0.435 0.100 0.305 1
Se4 Se 0.565 0.900 0.695 1
Se5 Se 0.770 0.770 0.305 1
Se6 Se 0.900 0.565 0.695 1
```


Entry 4:
The following is a PBE-GGA calculation of a relaxed structure of Rb4YHo3Se8, from Alexandria.

Output
- total magnetization (μB/atom) = 0.0000
- ΔE_f (raw) (kJ per mole of atoms) = -168
- VASP energy (eV for the cell shown) = -79.77

Structure (CIF):
```
data_Rb4YHo3Se8
_symmetry_space_group_name_H-M 'P 1'
_symmetry_Int_Tables_number 1
_symmetry_space_group_name_Hall 'P 1'
_cell_length_a 9.366
_cell_length_b 9.366
_cell_length_c 9.366
_cell_angle_alpha 53.70
_cell_angle_beta 53.70
_cell_angle_gamma 53.70
loop_
_atom_site_label
_atom_site_type_symbol
_atom_site_fract_x
_atom_site_fract_y
_atom_site_fract_z
_atom_site_occupancy
Rb1 Rb 0.000 0.000 0.000 1
Rb2 Rb 0.000 0.500 0.500 1
Rb3 Rb 0.500 0.000 0.500 1
Rb4 Rb 0.500 0.500 0.000 1
Y1 Y 0.500 0.500 0.500 1
Ho1 Ho 0.000 0.000 0.500 1
Ho2 Ho 0.000 0.500 0.000 1
Ho3 Ho 0.500 0.000 0.000 1
Se1 Se 0.230 0.732 0.732 1
Se2 Se 0.232 0.232 0.232 1
Se3 Se 0.268 0.268 0.770 1
Se4 Se 0.268 0.770 0.268 1
Se5 Se 0.732 0.230 0.732 1
Se6 Se 0.732 0.732 0.230 1
Se7 Se 0.768 0.768 0.768 1
Se8 Se 0.770 0.268 0.268 1
```


Entry 5:
The following is a PBE-GGA calculation of a relaxed structure of Rb2YHoSe4, from Alexandria.

Output
- total magnetization (μB/atom) = 0.0000
- ΔE_f (raw) (kJ per mole of atoms) = -168
- VASP energy (eV for the cell shown) = -40.85

Structure (CIF):
```
data_Rb2YHoSe4
_symmetry_space_group_name_H-M 'P 1'
_symmetry_Int_Tables_number 1
_symmetry_space_group_name_Hall 'P 1'
_cell_length_a 7.334
_cell_length_b 4.235
_cell_length_c 8.356
_cell_angle_alpha 90.00
_cell_angle_beta 107.00
_cell_angle_gamma 90.00
loop_
_atom_site_label
_atom_site_type_symbol
_atom_site_fract_x
_atom_site_fract_y
_atom_site_fract_z
_atom_site_occupancy
Rb1 Rb 0.000 0.000 0.000 1
Rb2 Rb 0.500 0.500 0.000 1
Y1 Y 0.000 0.500 0.500 1
Ho1 Ho 0.500 0.000 0.500 1
Se1 Se 0.233 0.000 0.696 1
Se2 Se 0.270 0.500 0.305 1
Se3 Se 0.730 0.500 0.695 1
Se4 Se 0.767 0.000 0.304 1
```


Entry 6:
The following is a PBE-GGA calculation of a relaxed structure of Rb4Y3HoSe8, from Alexandria.

Output
- total magnetization (μB/atom) = 0.0000
- ΔE_f (raw) (kJ per mole of atoms) = -168
- VASP energy (eV for the cell shown) = -83.65

Structure (CIF):
```
data_Rb4Y3HoSe8
_symmetry_space_group_name_H-M 'P 1'
_symmetry_Int_Tables_number 1
_symmetry_space_group_name_Hall 'P 1'
_cell_length_a 9.374
_cell_length_b 9.374
_cell_length_c 9.374
_cell_angle_alpha 53.78
_cell_angle_beta 53.78
_cell_angle_gamma 53.78
loop_
_atom_site_label
_atom_site_type_symbol
_atom_site_fract_x
_atom_site_fract_y
_atom_site_fract_z
_atom_site_occupancy
Rb1 Rb 0.000 0.000 0.000 1
Rb2 Rb 0.000 0.500 0.500 1
Rb3 Rb 0.500 0.000 0.500 1
Rb4 Rb 0.500 0.500 0.000 1
Y1 Y 0.000 0.000 0.500 1
Y2 Y 0.000 0.500 0.000 1
Y3 Y 0.500 0.000 0.000 1
Ho1 Ho 0.500 0.500 0.500 1
Se1 Se 0.232 0.232 0.232 1
Se2 Se 0.233 0.731 0.731 1
Se3 Se 0.269 0.269 0.767 1
Se4 Se 0.269 0.767 0.269 1
Se5 Se 0.731 0.233 0.731 1
Se6 Se 0.731 0.731 0.233 1
Se7 Se 0.767 0.269 0.269 1
Se8 Se 0.768 0.768 0.768 1
```


Entry 7:
The following is a PBE-GGA calculation of a relaxed structure of Rb3Y3HoSe8, from Alexandria.

Output
- total magnetization (μB/atom) = 0.0000
- ΔE_f (raw) (kJ per mole of atoms) = -162
- VASP energy (eV for the cell shown) = -79.88

Structure (CIF):
```
data_Rb3Y3HoSe8
_symmetry_space_group_name_H-M 'P 1'
_symmetry_Int_Tables_number 1
_symmetry_space_group_name_Hall 'P 1'
_cell_length_a 9.499
_cell_length_b 9.499
_cell_length_c 9.499
_cell_angle_alpha 52.04
_cell_angle_beta 52.04
_cell_angle_gamma 52.04
loop_
_atom_site_label
_atom_site_type_symbol
_atom_site_fract_x
_atom_site_fract_y
_atom_site_fract_z
_atom_site_occupancy
Rb1 Rb 0.000 0.500 0.500 1
Rb2 Rb 0.500 0.000 0.500 1
Rb3 Rb 0.500 0.500 0.000 1
Y1 Y 0.000 0.000 0.500 1
Y2 Y 0.000 0.500 0.000 1
Y3 Y 0.500 0.000 0.000 1
Ho1 Ho 0.500 0.500 0.500 1
Se1 Se 0.232 0.232 0.232 1
Se2 Se 0.232 0.731 0.731 1
Se3 Se 0.269 0.269 0.768 1
Se4 Se 0.269 0.768 0.269 1
Se5 Se 0.731 0.232 0.731 1
Se6 Se 0.731 0.731 0.232 1
Se7 Se 0.768 0.269 0.269 1
Se8 Se 0.768 0.768 0.768 1
```


Entry 8:
The following is a PBE-GGA calculation of a relaxed structure of Rb3YHo3Se8, from Alexandria.

Output
- total magnetization (μB/atom) = 0.0000
- ΔE_f (raw) (kJ per mole of atoms) = -161
- VASP energy (eV for the cell shown) = -76.07

Structure (CIF):
```
data_Rb3YHo3Se8
_symmetry_space_group_name_H-M 'P 1'
_symmetry_Int_Tables_number 1
_symmetry_space_group_name_Hall 'P 1'
_cell_length_a 8.307
_cell_length_b 8.307
_cell_length_c 9.494
_cell_angle_alpha 115.95
_cell_angle_beta 115.95
_cell_angle_gamma 59.99
loop_
_atom_site_label
_atom_site_type_symbol
_atom_site_fract_x
_atom_site_fract_y
_atom_site_fract_z
_atom_site_occupancy
Rb1 Rb 0.000 0.000 0.000 1
Rb2 Rb 0.000 0.500 0.000 1
Rb3 Rb 0.500 0.000 0.000 1
Y1 Y 0.000 0.000 0.500 1
Ho1 Ho 0.000 0.500 0.500 1
Ho2 Ho 0.500 0.000 0.500 1
Ho3 Ho 0.500 0.500 0.500 1
Se1 Se 0.232 0.232 0.694 1
Se2 Se 0.233 0.729 0.693 1
Se3 Se 0.268 0.268 0.305 1
Se4 Se 0.271 0.767 0.307 1
Se5 Se 0.729 0.233 0.693 1
Se6 Se 0.732 0.732 0.695 1
Se7 Se 0.767 0.271 0.307 1
Se8 Se 0.768 0.768 0.306 1
```


Entry 9:
The following is a PBE-GGA calculation of a relaxed structure of Rb2HoZn2Se4, from Alexandria.

Output
- total magnetization (μB/atom) = 0.0000
- ΔE_f (raw) (kJ per mole of atoms) = -105
- VASP energy (eV for the cell shown) = -32.83

Structure (CIF):
```
data_Rb2HoZn2Se4
_symmetry_space_group_name_H-M 'P 1'
_symmetry_Int_Tables_number 1
_symmetry_space_group_name_Hall 'P 1'
_cell_length_a 8.416
_cell_length_b 8.416
_cell_length_c 8.375
_cell_angle_alpha 111.78
_cell_angle_beta 111.78
_cell_angle_gamma 28.22
loop_
_atom_site_label
_atom_site_type_symbol
_atom_site_fract_x
_atom_site_fract_y
_atom_site_fract_z
_atom_site_occupancy
Rb1 Rb 0.129 0.129 0.061 1
Rb2 Rb 0.871 0.871 0.939 1
Ho1 Ho 0.000 0.000 0.500 1
Zn1 Zn 0.316 0.316 0.490 1
Zn2 Zn 0.684 0.684 0.510 1
Se1 Se 0.189 0.189 0.697 1
Se2 Se 0.470 0.470 0.715 1
Se3 Se 0.530 0.530 0.285 1
Se4 Se 0.811 0.811 0.303 1
```


Entry 10:
The following is a PBE-GGA calculation of a relaxed structure of Rb4Ho3ZrSe8, from Alexandria.

Output
- total magnetization (μB/atom) = 0.0394
- ΔE_f (raw) (kJ per mole of atoms) = -155
- VASP energy (eV for the cell shown) = -79.75

Structure (CIF):
```
data_Rb4Ho3ZrSe8
_symmetry_space_group_name_H-M 'P 1'
_symmetry_Int_Tables_number 1
_symmetry_space_group_name_Hall 'P 1'
_cell_length_a 9.332
_cell_length_b 9.332
_cell_length_c 9.332
_cell_angle_alpha 52.96
_cell_angle_beta 52.96
_cell_angle_gamma 52.96
loop_
_atom_site_label
_atom_site_type_symbol
_atom_site_fract_x
_atom_site_fract_y
_atom_site_fract_z
_atom_site_occupancy
Rb1 Rb 0.000 0.000 0.000 1
Rb2 Rb 0.000 0.500 0.500 1
Rb3 Rb 0.500 0.000 0.500 1
Rb4 Rb 0.500 0.500 0.000 1
Ho1 Ho 0.000 0.000 0.500 1
Ho2 Ho 0.000 0.500 0.000 1
Ho3 Ho 0.500 0.000 0.000 1
Zr1 Zr 0.500 0.500 0.500 1
Se1 Se 0.232 0.232 0.232 1
Se2 Se 0.241 0.726 0.726 1
Se3 Se 0.274 0.274 0.759 1
Se4 Se 0.274 0.759 0.274 1
Se5 Se 0.726 0.241 0.726 1
Se6 Se 0.726 0.726 0.241 1
Se7 Se 0.759 0.274 0.274 1
Se8 Se 0.768 0.768 0.768 1
```


Entry 11:
The following is a PBE-GGA calculation of a relaxed structure of Rb3Ho2ZrSe6, from Alexandria.

Output
- total magnetization (μB/atom) = 0.0011
- ΔE_f (raw) (kJ per mole of atoms) = -151
- VASP energy (eV for the cell shown) = -60.30

Structure (CIF):
```
data_Rb3Ho2ZrSe6
_symmetry_space_group_name_H-M 'P 1'
_symmetry_Int_Tables_number 1
_symmetry_space_group_name_Hall 'P 1'
_cell_length_a 7.153
_cell_length_b 7.153
_cell_length_c 8.365
_cell_angle_alpha 98.20
_cell_angle_beta 98.20
_cell_angle_gamma 120.00
loop_
_atom_site_label
_atom_site_type_symbol
_atom_site_fract_x
_atom_site_fract_y
_atom_site_fract_z
_atom_site_occupancy
Rb1 Rb 0.000 0.000 0.000 1
Rb2 Rb 0.331 0.669 0.000 1
Rb3 Rb 0.669 0.331 0.000 1
Ho1 Ho 0.166 0.834 0.500 1
Ho2 Ho 0.834 0.166 0.500 1
Zr1 Zr 0.500 0.500 0.500 1
Se1 Se 0.112 0.435 0.305 1
Se2 Se 0.243 0.243 0.696 1
Se3 Se 0.435 0.112 0.305 1
Se4 Se 0.565 0.888 0.695 1
Se5 Se 0.757 0.757 0.304 1
Se6 Se 0.888 0.565 0.695 1
```


Entry 12:
The following is a PBE-GGA calculation of a relaxed structure of Rb2Ho2ZrSe6, from Alexandria.

Output
- total magnetization (μB/atom) = 0.0000
- ΔE_f (raw) (kJ per mole of atoms) = -158
- VASP energy (eV for the cell shown) = -58.61

Structure (CIF):
```
data_Rb2Ho2ZrSe6
_symmetry_space_group_name_H-M 'P 1'
_symmetry_Int_Tables_number 1
_symmetry_space_group_name_Hall 'P 1'
_cell_length_a 7.046
_cell_length_b 7.046
_cell_length_c 8.550
_cell_angle_alpha 98.15
_cell_angle_beta 98.15
_cell_angle_gamma 119.72
loop_
_atom_site_label
_atom_site_type_symbol
_atom_site_fract_x
_atom_site_fract_y
_atom_site_fract_z
_atom_site_occupancy
Rb1 Rb 0.170 0.830 0.000 1
Rb2 Rb 0.830 0.170 0.000 1
Ho1 Ho 0.333 0.667 0.500 1
Ho2 Ho 0.667 0.333 0.500 1
Zr1 Zr 0.000 0.000 0.500 1
Se1 Se 0.066 0.385 0.691 1
Se2 Se 0.255 0.255 0.311 1
Se3 Se 0.385 0.066 0.691 1
Se4 Se 0.615 0.934 0.309 1
Se5 Se 0.745 0.745 0.689 1
Se6 Se 0.934 0.615 0.309 1
```